[1]
Computed, not measured: a relaxed structure of PmURu2 at the GGA-PBE level of DFT.

Results
Magnetization   0.00 μB per formula unit
Crystal system   orthorhombic
Excess energy over the best structure of this formula in the dataset   0.459 eV per formula unit
ΔE_f   -15 kJ per mole of atoms
E   -140.82 eV per cell

Lattice parameters (Å, degrees): 6.426 15.600 3.435 90.00 90.00 90.00
Space group Cmcm (No. 63)
Unique sites:
Pm 0.000 0.218 0.250 (multiplicity 4)
U 0.000 0.410 0.750 (multiplicity 4)
Ru 0.216 0.081 0.750 (multiplicity 8)

[2]
Computed, not measured: a relaxed structure of Ba2CaCd2 at the GGA-PBE level of DFT.

Results
Magnetization   0.00 μB per formula unit
Crystal system   tetragonal
Excess energy over the best structure of this formula in the dataset   0.000 eV per formula unit
ΔE_f   -22 kJ per mole of atoms
E   -17.61 eV per cell

Lattice parameters (Å, degrees): 9.392 9.392 4.656 90.00 90.00 90.00
Space group P4/mbm (No. 127)
Unique sites:
Ba 0.160 0.340 0.000 (multiplicity 4)
Ca 0.000 0.000 0.500 (multiplicity 2)
Cd 0.134 0.634 0.500 (multiplicity 4)

[3]
Computed, not measured: a relaxed structure of Ac12Hg3Rh5 at the GGA-PBE level of DFT.

Results
Magnetization   0.00 μB per formula unit
Crystal system   cubic
ΔE_f   -33 kJ per mole of atoms
E   -750.71 eV per cell

Lattice parameters (Å, degrees): 18.260 18.260 18.260 90.00 90.00 90.00
Space group Ia-3d (No. 230)
Unique sites:
Ac 0.027 0.059 0.650 (multiplicity 96)
Hg 0.000 0.250 0.125 (multiplicity 24)
Rh 0.000 0.000 0.000 (multiplicity 16)
Rh 0.000 0.250 0.375 (multiplicity 24)

[4]
Computed, not measured: a relaxed structure of CaAl4Cu9 at the GGA-PBE level of DFT.

Results
Magnetization   0.00 μB per formula unit
Crystal system   tetragonal
ΔE_f   -23 kJ per mole of atoms
E   -228.46 eV per cell

Lattice parameters (Å, degrees): 8.334 8.334 11.736 90.00 90.00 90.00
Space group I4/mcm (No. 140)
Unique sites:
Ca 0.000 0.000 0.250 (multiplicity 4)
Al 0.181 0.319 0.120 (multiplicity 16)
Cu 0.000 0.500 0.000 (multiplicity 4)
Cu 0.059 0.203 0.500 (multiplicity 16)
Cu 0.116 0.384 0.321 (multiplicity 16)

- Which formula does entry 3 have?
  Ac12Hg3Rh5